# PBEsol Ni2TeS, optimized geometry
# Spin magnetization ... 0.001 μB/cell
# ρ ... 6.8 g/cm3
# Formation energy without anion corrections ... -0.27 eV per atom
data_Ni2TeS
_chemical_formula_sum 'Ni4 Te2 S2'
_cell_length_a 4.592
_cell_length_b 4.592
_cell_length_c 7.223
_cell_angle_alpha 108.53
_cell_angle_beta 108.53
_cell_angle_gamma 90.00
_space_group_name_H-M_alt 'P 1'
_space_group_IT_number 1
loop_
_space_group_symop_operation_xyz
'x,y,z'
loop_
_atom_site_label
_atom_site_type_symbol
_atom_site_fract_x
_atom_site_fract_y
_atom_site_fract_z
Ni1 Ni 0.472 0.875 0.250
Ni2 Ni 0.125 0.222 0.750
Ni3 Ni 0.625 0.528 0.750
Ni4 Ni 0.778 0.375 0.250
S1 S 0.750 0.250 0.500
S2 S 0.500 0.500 0.000
Te1 Te 0.250 0.750 0.500
Te2 Te 0.000 0.000 0.000